Arrangement P

Entry from Alexandria via LeMat-Bulk: a relaxed Mg5Ni4 crystal (PBE-GGA).

Summary:
density	4.33	g cm⁻³
N(E_F)	0.538	states/eV/atom
SG	No. 139

Unit cell a=6.1181 b=6.1181 c=6.1181 alpha=96.49 beta=96.49 gamma=140.70
Atoms (fractional coordinates):
Mg 0.0000 0.0000 0.0000
Mg 0.3241 0.3241 0.6483
Mg 0.3241 0.6759 0.0000
Mg 0.6759 0.3241 0.0000
Mg 0.6759 0.6759 0.3517
Ni 0.0000 0.3535 0.3535
Ni 0.0000 0.6465 0.6465
Ni 0.3535 0.0000 0.3535
Ni 0.6465 0.0000 0.6465

Arrangement Q

Entry from Alexandria via LeMat-Bulk: a relaxed Mg5Ni4 crystal (PBE-GGA).

Summary:
density	4.32	g cm⁻³
N(E_F)	0.719	states/eV/atom
SG	No. 193

Unit cell a=7.6754 b=7.6754 c=5.3679 alpha=90.00 beta=90.00 gamma=120.00
Atoms (fractional coordinates):
Mg 0.0000 0.2854 0.2500
Mg 0.0000 0.7146 0.7500
Mg 0.2854 0.0000 0.2500
Mg 0.2854 0.2854 0.7500
Mg 0.3333 0.6667 0.0000
Mg 0.3333 0.6667 0.5000
Mg 0.6667 0.3333 0.0000
Mg 0.6667 0.3333 0.5000
Mg 0.7146 0.0000 0.7500
Mg 0.7146 0.7146 0.2500
Ni 0.0000 0.0000 0.0000
Ni 0.0000 0.0000 0.5000
Ni 0.0000 0.3758 0.7500
Ni 0.0000 0.6242 0.2500
Ni 0.3758 0.0000 0.7500
Ni 0.3758 0.3758 0.2500
Ni 0.6242 0.0000 0.2500
Ni 0.6242 0.6242 0.7500

Quick one: most stable of them? arrangement Q

Arrangement P

Entry from Alexandria via LeMat-Bulk: a relaxed Mg2Np2Ni15 crystal (PBE-GGA).

Summary:
density	9.35	g cm⁻³
N(E_F)	1.531	states/eV/atom
SG	No. 166

Unit cell a=6.3544 b=6.3544 c=6.3544 alpha=81.63 beta=81.63 gamma=81.63
Atoms (fractional coordinates):
Mg 0.1340 0.1340 0.1340
Mg 0.8660 0.8660 0.8660
Np 0.4078 0.4078 0.4078
Np 0.5922 0.5922 0.5922
Ni 0.0000 0.5000 0.5000
Ni 0.1576 0.1576 0.6671
Ni 0.1576 0.6671 0.1576
Ni 0.1745 0.5000 0.8255
Ni 0.1745 0.8255 0.5000
Ni 0.3329 0.8424 0.8424
Ni 0.5000 0.0000 0.5000
Ni 0.5000 0.1745 0.8255
Ni 0.5000 0.5000 0.0000
Ni 0.5000 0.8255 0.1745
Ni 0.6671 0.1576 0.1576
Ni 0.8255 0.1745 0.5000
Ni 0.8255 0.5000 0.1745
Ni 0.8424 0.3329 0.8424
Ni 0.8424 0.8424 0.3329

Arrangement Q

Entry from Alexandria via LeMat-Bulk: a relaxed Mg2Np2Ni15 crystal (PBE-GGA).

Summary:
density	9.42	g cm⁻³
N(E_F)	1.891	states/eV/atom
SG	No. 166

Unit cell a=6.3289 b=6.3289 c=6.3289 alpha=82.41 beta=82.41 gamma=82.41
Atoms (fractional coordinates):
Mg 0.1030 0.1030 0.1030
Mg 0.8970 0.8970 0.8970
Np 0.3530 0.3530 0.3530
Np 0.6470 0.6470 0.6470
Ni 0.0000 0.0000 0.5000
Ni 0.0000 0.3099 0.6901
Ni 0.0000 0.5000 0.0000
Ni 0.0000 0.6901 0.3099
Ni 0.1615 0.6530 0.6530
Ni 0.3099 0.0000 0.6901
Ni 0.3099 0.6901 0.0000
Ni 0.3470 0.3470 0.8385
Ni 0.3470 0.8385 0.3470
Ni 0.5000 0.0000 0.0000
Ni 0.6530 0.1615 0.6530
Ni 0.6530 0.6530 0.1615
Ni 0.6901 0.0000 0.3099
Ni 0.6901 0.3099 0.0000
Ni 0.8385 0.3470 0.3470

Quick one: most stable of them? arrangement Q